Crystalline SrTaMo at its relaxed geometry, computed with PBE-GGA.

Computed properties:
energy of formation = 647 meV/atom
offset from the most stable computed form = 39 kJ/mol of formula units
V = 28.5 A^3/atom

a = 4.822 Å, b = 4.907 Å, c = 7.919 Å
α = 74.55°, β = 87.07°, γ = 71.12°
Element x y z (fractional)
Ta 0.626 0.514 0.091
Ta 0.282 0.089 0.089
Mo 0.806 0.985 0.251
Mo 0.125 0.468 0.253
Sr 0.938 0.920 0.818
Sr 0.480 0.613 0.517


Crystalline PrThBe2Si2 at its relaxed geometry, computed with PBE-GGA.

Computed properties:
V = 19.3 A^3/atom
energy relative to the elements, uncorrected = -0.623 eV/atom

a = 3.951 Å, b = 3.951 Å, c = 8.556 Å
α = 90.00°, β = 90.00°, γ = 120.00°
Element x y z (fractional)
Si 0.333 0.667 0.748
Si 0.667 0.333 0.252
Be 0.333 0.667 0.254
Be 0.667 0.333 0.746
Th 0.000 0.000 0.500
Pr 0.000 0.000 0.000


Crystalline Li2CdFe at its relaxed geometry, computed with PBE-GGA.

Computed properties:
energy of formation = 221 meV/atom
V = 15.6 A^3/atom

a = 5.314 Å, b = 5.314 Å, c = 5.314 Å
α = 147.38°, β = 128.86°, γ = 61.98°
Site moments in Bohr magnetons follow the coordinates.
Element x y z (fractional)
Li 0.754 0.254 0.500  -0.04
Li 0.999 0.999 0.000  -0.02
Cd 0.503 0.503 0.000  -0.03
Fe 0.244 0.744 0.500  2.81


Crystalline TlAgSnPb at its relaxed geometry, computed with PBE-GGA.

Computed properties:
energy of formation = 25 meV/atom
offset from the most stable computed form = 0 kJ/mol of formula units
V = 26.7 A^3/atom

a = 3.435 Å, b = 3.435 Å, c = 9.059 Å
α = 89.99°, β = 90.01°, γ = 90.00°
Element x y z (fractional)
Sn 0.647 0.353 0.433
Ag 0.146 0.854 0.233
Pb 0.645 0.355 0.008
Tl 0.147 0.853 0.714


Crystalline Y2Al3Cu12Pd at its relaxed geometry, computed with PBE-GGA.

Computed properties:
energy of formation = 18 meV/atom
V = 15.9 A^3/atom

a = 12.260 Å, b = 12.260 Å, c = 12.260 Å
α = 24.84°, β = 24.84°, γ = 24.84°
Element x y z (fractional)
Cu 0.891 0.393 0.891
Cu 0.398 0.398 0.870
Cu 0.870 0.398 0.398
Cu 0.130 0.602 0.602
Cu 0.602 0.602 0.130
Cu 0.398 0.870 0.398
Cu 0.602 0.130 0.602
Cu 0.109 0.109 0.607
Cu 0.393 0.891 0.891
Cu 0.607 0.109 0.109
Cu 0.109 0.607 0.109
Cu 0.891 0.891 0.393
Al 0.000 0.500 0.000
Al 0.000 0.000 0.500
Al 0.500 0.000 0.000
Pd 0.000 0.000 0.000
Y 0.357 0.357 0.357
Y 0.643 0.643 0.643


Crystalline PrPaCu2O8 at its relaxed geometry, computed with PBE-GGA.

Computed properties:
V = 12.6 A^3/atom
energy relative to the elements, uncorrected = -1.710 eV/atom

a = 5.336 Å, b = 5.336 Å, c = 6.522 Å
α = 114.15°, β = 114.15°, γ = 90.00°
Element x y z (fractional)
Pa 0.000 0.000 0.000
Cu 0.250 0.750 0.500
Cu 0.500 0.500 0.000
O 0.694 0.839 0.071
O 0.139 0.369 0.421
O 0.161 0.623 0.929
O 0.377 0.232 0.071
O 0.282 0.052 0.421
O 0.768 0.306 0.929
O 0.948 0.861 0.579
O 0.631 0.718 0.579
Pr 0.750 0.250 0.500


Crystalline SrCrSe2Br at its relaxed geometry, computed with PBE-GGA.

Computed properties:
offset from the most stable computed form = 497 kJ/mol of formula units
V = 39.8 A^3/atom
energy relative to the elements, uncorrected = 0.070 eV/atom

a = 5.884 Å, b = 5.884 Å, c = 5.743 Å
α = 90.00°, β = 90.00°, γ = 90.00°
Site moments in Bohr magnetons follow the coordinates.
Element x y z (fractional)
Se 0.500 0.000 0.000  -0.55
Se 0.000 0.500 0.000  -0.55
Sr 0.000 0.000 0.000  0.00
Br 0.000 0.000 0.500  -0.06
Cr 0.500 0.500 0.500  4.31


Crystalline TbVBr at its relaxed geometry, computed with PBE-GGA.

Computed properties:
V = 24.8 A^3/atom
energy relative to the elements, uncorrected = -0.528 eV/atom

a = 4.114 Å, b = 3.616 Å, c = 10.178 Å
α = 79.77°, β = 90.00°, γ = 90.00°
Element x y z (fractional)
Br 0.750 0.330 0.340
Br 0.250 0.670 0.660
Tb 0.250 0.902 0.197
Tb 0.750 0.098 0.803
V 0.250 0.522 0.957
V 0.750 0.478 0.043


Crystalline NdIn3Hg2 at its relaxed geometry, computed with PBE-GGA.

Computed properties:
energy of formation = -266 meV/atom
V = 25.7 A^3/atom

a = 4.723 Å, b = 4.661 Å, c = 7.382 Å
α = 108.40°, β = 90.00°, γ = 90.00°
Element x y z (fractional)
Hg 0.000 0.670 0.339
Hg 0.000 0.330 0.661
In 0.500 0.173 0.345
In 0.500 0.500 0.000
In 0.500 0.827 0.655
Nd 0.000 0.000 0.000


Crystalline Ta2AsBr at its relaxed geometry, computed with PBE-GGA.

Computed properties:
offset from the most stable computed form = 174 kJ/mol of formula units
V = 17.1 A^3/atom
energy relative to the elements, uncorrected = 0.308 eV/atom

a = 4.593 Å, b = 4.593 Å, c = 4.593 Å
α = 60.00°, β = 60.00°, γ = 60.00°
Element x y z (fractional)
Ta 0.750 0.750 0.750
Ta 0.250 0.250 0.250
Br 0.500 0.500 0.500
As 0.000 0.000 0.000


Crystalline CaSmY2Te4 at its relaxed geometry, computed with PBE-GGA.

Computed properties:
V = 30.4 A^3/atom
energy relative to the elements, uncorrected = -1.405 eV/atom

a = 4.387 Å, b = 7.646 Å, c = 7.679 Å
α = 70.97°, β = 90.00°, γ = 90.00°
Element x y z (fractional)
Te 0.500 0.754 0.250
Te 0.500 0.246 0.750
Te 0.000 0.245 0.254
Te 0.000 0.755 0.746
Y 0.000 0.000 0.000
Y 0.500 0.000 0.500
Ca 0.000 0.500 0.500
Sm 0.500 0.500 0.000


Crystalline Mg3AsN at its relaxed geometry, computed with PBE-GGA.

Computed properties:
V = 20.9 A^3/atom
energy relative to the elements, uncorrected = -0.012 eV/atom

a = 3.986 Å, b = 3.986 Å, c = 6.570 Å
α = 90.00°, β = 90.00°, γ = 90.00°
Element x y z (fractional)
Mg 0.000 0.500 0.401
Mg 0.500 0.000 0.401
Mg 0.000 0.000 0.769
N 0.500 0.500 0.544
As 0.000 0.000 0.149